# 1
Computed, not measured: an optimized crystal structure of CoSb2Ru at the PBE level of DFT.

Cell: 8.0618 3.2431 5.5129 Å, 90.00 103.02 90.00°
Closest atoms and distances in Å follow each position.
Space group C2/m (No. 12)
One atom of each set of equivalent atoms:
Co: 0.0000 0.0000 0.0000 (multiplicity 2)  6 Sb 2.67-2.69
Sb: 0.2490 0.5000 0.2445 (multiplicity 4)  3 Co 2.67-2.69, 3 Ru 2.70-2.72
Ru: 0.0000 0.5000 0.5000 (multiplicity 2)  6 Sb 2.70-2.72

electronic total energy	-5.950	eV/atom
formation energy without anion corrections	207	meV per atom
relative energy among the computed polymorphs	0.68	eV per formula unit

---

# 2
Computed, not measured: an optimized crystal structure of ScCoSbRu at the PBE level of DFT.

Cell: 6.3189 6.3189 6.3189 Å, 90.00 90.00 90.00°
Closest atoms and distances in Å follow each position.
Space group F-43m (No. 216)
One atom of each set of equivalent atoms:
Sc: 0.0000 0.0000 0.0000 (multiplicity 4)  4 Co 2.74, 4 Ru 2.74
Co: 0.2500 0.2500 0.7500 (multiplicity 4)  4 Sb 2.74, 4 Sc 2.74
Sb: 0.0000 0.0000 0.5000 (multiplicity 4)  4 Ru 2.74, 4 Co 2.74
Ru: 0.2500 0.2500 0.2500 (multiplicity 4)  4 Sb 2.74, 4 Sc 2.74

electronic total energy	-7.151	eV/atom
formation energy without anion corrections	-442	meV per atom